Entry 1:
Compound: LaYSc2
Source: the Alexandria database
Functional: PBEsol
Structure: optimized geometry

## Properties
**Energy of formation from the pure elements**: 0.3 eV/f.u.
**Theoretical density**: 4.8 g cm⁻³
**Distance to the lowest polymorph of the same formula**: 18.0 meV/atom
**DFT total energy**: -6.2814 eV per atom

abc: 5.651 5.651 5.651
angles: 127.17 127.17 77.98
Atoms (fractional coordinates):
La 0.000 0.000 0.000
Y 0.500 0.500 0.000
Sc 0.250 0.750 0.500
Sc 0.750 0.250 0.500


Entry 2:
Compound: ZrIr3
Source: the Alexandria database
Functional: PBEsol
Structure: optimized geometry

## Properties
**Energy of formation from the pure elements**: -3.0 eV/f.u.
**Theoretical density**: 18.2 g cm⁻³
**DFT total energy**: -10.3836 eV per atom

abc: 3.932 3.932 3.932
angles: 90.00 90.00 90.00
Atoms (fractional coordinates):
Zr 0.000 0.000 0.000
Ir 0.000 0.500 0.500
Ir 0.500 0.000 0.500
Ir 0.500 0.500 0.000


Entry 3:
Compound: CsAlF2
Source: the Alexandria database
Functional: PBEsol
Structure: optimized geometry

## Properties
**Theoretical density**: 4.2 g cm⁻³
**DFT total energy**: -3.8724 eV per atom
**Uncorrected formation energy**: -1650 meV/atom

abc: 4.795 4.795 4.795
angles: 60.00 60.00 60.00
Atoms (fractional coordinates):
Cs 0.000 0.000 0.000
Al 0.500 0.500 0.500
F 0.250 0.250 0.250
F 0.750 0.750 0.750


Entry 4:
Compound: LaZnN2Cl
Source: the Alexandria database
Functional: PBEsol
Structure: optimized geometry

## Properties
**Theoretical density**: 2.8 g cm⁻³
**DFT total energy**: -4.4630 eV per atom
**Uncorrected formation energy**: 735 meV/atom

abc: 4.143 4.143 9.157
angles: 90.00 90.00 90.00
Atoms (fractional coordinates):
La 0.000 0.000 0.000
Zn 0.000 0.000 0.500
N 0.000 0.500 0.000
N 0.500 0.000 0.000
Cl 0.500 0.500 0.500